[1]
A plane-wave DFT calculation with PBE was carried out for an optimized crystal structure of VHAu.

Calculated values
Mass density, g/cm3: 12.2
Polymorph energy (0 for the lowest one), eV/atom: 0.000
Magnetic moment, μB/cell: 0.00
Energy, eV/atom: -5.349

POSCAR file:
```
VHAu
1.0
3.351 0.000 0.000
-0.002 3.371 0.000
-0.039 -0.202 5.980
V H Au
2 2 2
direct
0.244 0.208 0.118 V
0.756 0.792 0.882 V
0.256 0.713 0.998 H
0.744 0.287 0.002 H
0.251 0.256 0.628 Au
0.749 0.744 0.372 Au
```

---

[2]
A plane-wave DFT calculation with PBE was carried out for an optimized crystal structure of VH2Au.

Calculated values
Mass density, g/cm3: 10.6
Polymorph energy (0 for the lowest one), eV/atom: 0.215
Magnetic moment, μB/cell: 0.00
Energy, eV/atom: -4.561

POSCAR file:
```
VH2Au
1.0
-2.107 2.107 4.390
2.107 -2.107 4.390
2.107 2.107 -4.390
V H Au
2 4 2
direct
0.000 0.000 0.000 V
0.750 0.250 0.500 V
0.065 0.625 0.940 H
0.375 0.315 0.440 H
0.685 0.125 0.060 H
0.875 0.935 0.560 H
0.250 0.750 0.500 Au
0.500 0.500 0.000 Au
```

---

[3]
A plane-wave DFT calculation with PBE was carried out for an optimized crystal structure of VH2Au2.

Calculated values
Mass density, g/cm3: 11.9
Magnetic moment, μB/cell: 5.49
Energy, eV/atom: -4.327

POSCAR file:
```
VH2Au2
1.0
5.720 0.000 0.000
0.000 5.720 0.000
0.000 0.000 3.810
V H Au
2 4 4
direct
0.000 0.000 0.000 V
0.500 0.500 0.000 V
0.191 0.309 0.000 H
0.309 0.809 0.000 H
0.691 0.191 0.000 H
0.809 0.691 0.000 H
0.184 0.316 0.500 Au
0.316 0.816 0.500 Au
0.684 0.184 0.500 Au
0.816 0.684 0.500 Au
```